SiBi3P: PBEsol geometry, SCAN.

a = 5.2798 Å, b = 5.2798 Å, c = 5.2798 Å
α = 90.00°, β = 90.00°, γ = 90.00°
With the nearest neighbours (Å) after each atom.
Sites, in units of the cell vectors:
Si1 0.0000 0.0000 0.0000  6 Bi 2.64
Bi1 0.0000 0.0000 0.5000  2 Si 2.64
Bi2 0.0000 0.5000 0.0000  2 Si 2.64
Bi3 0.5000 0.0000 0.0000  2 Si 2.64
P1 0.5000 0.5000 0.5000  12 Bi 3.73

Calculated values
Energy ... -50.14 eV per atom
Formation energy without anion corrections ... 1.094 eV/atom

CsP2PbC: PBEsol geometry, SCAN.

a = 4.6245 Å, b = 4.6245 Å, c = 4.9604 Å
α = 90.00°, β = 90.00°, γ = 90.00°
With the nearest neighbours (Å) after each atom.
Sites, in units of the cell vectors:
Cs1 0.0000 0.0000 0.0000  4 Pb 3.27, 8 P 3.39
P1 0.0000 0.5000 0.5000  2 C 2.31
P2 0.5000 0.0000 0.5000  2 C 2.31
Pb1 0.5000 0.5000 0.0000  2 C 2.48
C1 0.5000 0.5000 0.5000  4 P 2.31, 2 Pb 2.48

Calculated values
Energy ... -27.60 eV per atom
Formation energy from the elements ... 1303 meV per atom

Ni3Br: PBEsol geometry, SCAN.

a = 4.8043 Å, b = 4.8043 Å, c = 4.8043 Å
α = 144.47°, β = 129.47°, γ = 63.28°
With the nearest neighbours (Å) after each atom.
Sites, in units of the cell vectors:
Ni1 0.0000 0.0000 0.0000  4 Br 2.52, 4 Ni 2.59
Ni2 0.2612 0.7612 0.5000  2 Br 2.44, 6 Ni 2.53-2.59
Ni3 0.7388 0.2388 0.5000  2 Br 2.44, 6 Ni 2.53-2.59
Br1 0.5000 0.5000 0.0000  8 Ni 2.44-2.52

Calculated values
Energy ... -16.27 eV per atom
Formation energy without anion corrections ... 0.721 eV/atom
Distance to the lowest polymorph of the same formula ... 231 meV per atom

- Which formula does entry 2 have?
  CsP2PbC

- Which formula does entry 3 have?
  Ni3Br